Record 1
Cs2LaWI6: optimized geometry, PBE.

* M_tot: 1.0 μB per formula unit
* energy relative to the elements, uncorrected: -0.765 eV per atom

a b c (Å): 8.4191 8.4191 8.4180
angles (deg): 60.00 60.00 90.00
With the nearest neighbours (Å) after each atom.
Sites, in units of the cell vectors:
I 0.2348 0.2348 0.5304  1 W 2.79
La 0.5000 0.5000 0.0000  6 I 3.16
I 0.2348 0.2348 0.0000  1 W 2.80
W 0.0000 0.0000 0.0000  6 I 2.79-2.80
I 0.2348 0.7652 0.0000  1 W 2.80
I 0.7652 0.2348 0.0000  1 W 2.80
Cs 0.7500 0.2500 0.5000  12 I 4.21
I 0.7652 0.7652 0.4696  1 W 2.79
Cs 0.2500 0.7500 0.5000  12 I 4.21
I 0.7652 0.7652 0.0000  1 W 2.80

***

Record 2
TaHg2Pt: optimized geometry, PBE.

* M_tot: 0.0 μB per formula unit
* energy of formation from the pure elements: 0.247 eV per atom

a b c (Å): 2.9156 5.1272 5.1229
angles (deg): 90.00 90.00 90.00
With the nearest neighbours (Å) after each atom.
Sites, in units of the cell vectors:
Ta 0.0000 0.5000 0.5000  2 Ta 2.92, 4 Hg 2.95, 4 Pt 2.95
Hg 0.0000 0.0000 0.0000  6 Hg 2.92-2.95, 4 Pt 2.95
Pt 0.5000 0.0000 0.5000  2 Pt 2.92, 4 Hg 2.95, 4 Ta 2.95
Hg 0.5000 0.5000 0.0000  6 Hg 2.92-2.95, 4 Ta 2.95

***

Record 3
MnAlSb: optimized geometry, PBE.

* M_tot: 2.5 μB per formula unit
* energy relative to the elements, uncorrected: 0.056 eV per atom

a b c (Å): 4.3353 4.3353 4.3353
angles (deg): 60.00 60.00 60.00
With the nearest neighbours (Å) after each atom.
Sites, in units of the cell vectors:
Sb 0.0000 0.0000 0.0000  4 Mn 2.65
Mn 0.7500 0.7500 0.7500  4 Al 2.65, 4 Sb 2.65
Al 0.5000 0.5000 0.5000  4 Mn 2.65

***

Record 4
BaZr2Pt: optimized geometry, PBE.

* M_tot: 0.0 μB per formula unit
* energy of formation from the pure elements: -0.117 eV per atom

a b c (Å): 3.4963 3.4963 8.7006
angles (deg): 90.00 90.00 90.01
With the nearest neighbours (Å) after each atom.
Sites, in units of the cell vectors:
Pt 0.5000 0.5000 0.7500  8 Zr 2.87
Ba 0.5000 0.5000 0.2500  4 Ba 3.50, 8 Zr 3.80
Zr 0.0000 0.0000 0.5816  4 Pt 2.87, 1 Zr 2.93
Zr 0.0000 0.0000 0.9184  4 Pt 2.87, 1 Zr 2.93

***

Record 5
Na3AgCl4: optimized geometry, PBE.

* M_tot: 0.0 μB per formula unit
* energy relative to the elements, uncorrected: -1.439 eV per atom

a b c (Å): 5.6637 8.2075 9.4188
angles (deg): 90.00 90.00 90.00
With the nearest neighbours (Å) after each atom.
Sites, in units of the cell vectors:
Na 0.5637 0.3319 0.7489  5 Cl 2.70-2.84
Cl 0.5644 0.6682 0.2513  1 Ag 2.68, 4 Na 2.76-2.84
Na 0.0637 0.6681 0.7511  5 Cl 2.70-2.84
Ag 0.5655 0.8279 0.5000  5 Cl 2.68-2.83
Na 0.0637 0.6681 0.2489  5 Cl 2.70-2.84
Na 0.5637 0.3319 0.2511  5 Cl 2.70-2.84
Cl 0.0645 0.8442 0.0000  1 Ag 2.69, 4 Na 2.75-2.84
Ag 0.0655 0.1721 0.0000  5 Cl 2.68-2.83
Cl 0.0644 0.3318 0.2487  1 Ag 2.68, 4 Na 2.76-2.84
Cl 0.0652 0.8271 0.5000  3 Na 2.70, 2 Ag 2.83
Cl 0.5652 0.1729 0.0000  3 Na 2.70, 2 Ag 2.83
Na 0.0638 0.1561 0.5000  5 Cl 2.70-2.84
Na 0.5638 0.8439 0.0000  5 Cl 2.70-2.84
Cl 0.0644 0.3318 0.7513  1 Ag 2.68, 4 Na 2.76-2.84
Cl 0.5645 0.1558 0.5000  1 Ag 2.69, 4 Na 2.75-2.84
Cl 0.5644 0.6682 0.7487  1 Ag 2.68, 4 Na 2.76-2.84

***

Record 6
Ti3AuC: optimized geometry, PBE.

* M_tot: 0.0 μB per formula unit
* energy of formation from the pure elements: -0.548 eV per atom

a b c (Å): 10.7038 7.6019 7.6019
angles (deg): 78.13 123.42 56.58
With the nearest neighbours (Å) after each atom.
Sites, in units of the cell vectors:
Ti 0.0920 0.2229 0.1520  2 C 2.09-2.12
C 0.2500 0.5491 0.0491  6 Ti 2.10-2.12
Ti 0.0965 0.9541 0.9079  3 C 2.10-2.12
C 0.7500 0.1862 0.6862  6 Ti 2.09-2.12
Ti 0.9080 0.7771 0.8480  2 C 2.09-2.12
Ti 0.5920 0.3480 0.2771  2 C 2.09-2.12
Ti 0.9476 0.2543 0.3862  1 C 2.10
Ti 0.5524 0.8862 0.7543  1 C 2.10
Ti 0.0524 0.7457 0.6138  1 C 2.10
Au 0.9326 0.4914 0.6333  8 Ti 2.84-3.02, 3 Au 2.99-3.09
C 0.2500 0.8138 0.3138  6 Ti 2.09-2.12
Au 0.4326 0.8667 0.0086  8 Ti 2.84-3.02, 3 Au 2.99-3.09
C 0.7500 0.4509 0.9509  6 Ti 2.10-2.12
Ti 0.4035 0.4079 0.4541  3 C 2.10-2.12
Au 0.5674 0.1333 0.9914  8 Ti 2.84-3.02, 3 Au 2.99-3.09
Ti 0.9035 0.0459 0.0921  3 C 2.10-2.12
Au 0.0674 0.5086 0.3667  8 Ti 2.84-3.02, 3 Au 2.99-3.09
Ti 0.5965 0.5921 0.5459  3 C 2.10-2.12
Ti 0.4476 0.1138 0.2457  1 C 2.10
Ti 0.4080 0.6520 0.7229  2 C 2.09-2.12

***

Record 7
ErTmSc3: optimized geometry, PBE.

* M_tot: 0.0 μB per formula unit
* energy of formation from the pure elements: 0.018 eV per atom

a b c (Å): 14.9053 5.3023 3.4255
angles (deg): 90.00 96.62 90.00
With the nearest neighbours (Å) after each atom.
Sites, in units of the cell vectors:
Tm 0.7264 0.9500 0.3629  8 Sc 3.30-3.38, 2 Tm 3.43, 2 Er 3.49
Er 0.9317 0.9501 0.9656  6 Sc 3.33-3.53, 4 Er 3.33-3.43, 2 Tm 3.49
Tm 0.2737 0.4500 0.6372  8 Sc 3.30-3.38, 2 Tm 3.43, 2 Er 3.49
Sc 0.5294 0.9499 0.7650  10 Sc 3.27-3.43, 2 Tm 3.38
Sc 0.6615 0.4499 0.8301  8 Sc 3.29-3.43, 4 Tm 3.30
Sc 0.4706 0.4499 0.2352  10 Sc 3.27-3.43, 2 Tm 3.38
Sc 0.8601 0.4500 0.4294  2 Tm 3.31, 6 Er 3.33-3.53, 4 Sc 3.40-3.43
Er 0.0682 0.4501 0.0343  6 Sc 3.33-3.53, 4 Er 3.33-3.43, 2 Tm 3.49
Sc 0.3385 0.9500 0.1700  8 Sc 3.29-3.43, 4 Tm 3.30
Sc 0.1399 0.9501 0.5705  2 Tm 3.31, 6 Er 3.33-3.53, 4 Sc 3.40-3.43

***

Record 8
LiTmGa: optimized geometry, PBE.

* M_tot: 0.0 μB per formula unit
* energy of formation from the pure elements: -0.138 eV per atom

a b c (Å): 4.7311 4.7311 6.3844
angles (deg): 90.00 90.00 90.00
With the nearest neighbours (Å) after each atom.
Sites, in units of the cell vectors:
Ga 0.5968 0.5968 0.5000  4 Li 2.84-2.87, 4 Tm 2.85-2.86
Ga 0.5968 0.5968 0.0000  4 Li 2.84-2.87, 4 Tm 2.85-2.86
Tm 0.0963 0.6074 0.7500  4 Ga 2.85-2.86, 2 Li 3.19
Tm 0.6074 0.0963 0.2500  4 Ga 2.85-2.86, 2 Li 3.19
Li 0.5955 0.1012 0.7500  4 Ga 2.84-2.87
Li 0.1012 0.5955 0.2500  4 Ga 2.84-2.87

***

Which formula does entry 2 have? TaHg2Pt